Entry 1:
Entry from the Alexandria database: a geometry-optimized Rb2NaLiBi structure (GGA-PBE).

Summary:
**Density**: 2.14 g/cm³
**N(E_F)**: 1.43 states/eV/f.u.
**DFT total energy**: -1.7639 eV per atom
**Energy relative to the elements**: 46 meV per atom
**Total moment**: 1.00 μB/f.u.
**SG**: No. 123

abc: 7.243 7.243 6.053
angles: 90.00 90.00 90.00
Sites, in units of the cell vectors:
Rb: 0.000 0.500 0.000
Rb: 0.500 0.000 0.000
Na: 0.000 0.000 0.500
Li: 0.500 0.500 0.500
Bi: 0.000 0.000 0.000

=====

Entry 2:
Entry from the Alexandria database: a geometry-optimized RbNa2LiBi structure (GGA-PBE).

Summary:
**Density**: 3.17 g/cm³
**N(E_F)**: 2.41 states/eV/f.u.
**Energy above the most stable polymorph in this dataset**: 61 meV per atom
**DFT total energy**: -2.0250 eV per atom
**Energy relative to the elements**: -145 meV per atom
**Total moment**: 0.08 μB/f.u.
**SG**: No. 123

abc: 5.874 5.874 5.270
angles: 90.00 90.00 90.00
Sites, in units of the cell vectors:
Rb: 0.000 0.000 0.000
Na: 0.000 0.500 0.500
Na: 0.500 0.000 0.500
Li: 0.500 0.500 0.500
Bi: 0.500 0.500 0.000

=====

Entry 3:
Entry from the Alexandria database: a geometry-optimized RbNa2LiBi structure (GGA-PBE).

Summary:
**Density**: 2.70 g/cm³
**N(E_F)**: 2.38 states/eV/f.u.
**Energy above the most stable polymorph in this dataset**: 0 meV per atom
**DFT total energy**: -2.0855 eV per atom
**Energy relative to the elements**: -205 meV per atom
**Total moment**: 0.00 μB/f.u.
**SG**: No. 123

abc: 6.224 6.224 5.521
angles: 90.00 90.00 90.00
Sites, in units of the cell vectors:
Rb: 0.000 0.000 0.000
Na: 0.000 0.500 0.500
Na: 0.500 0.000 0.500
Li: 0.500 0.500 0.000
Bi: 0.500 0.500 0.500

=====

Entry 4:
Entry from the Alexandria database: a geometry-optimized RbNaLi2Bi structure (GGA-PBE).

Summary:
**Density**: 2.87 g/cm³
**N(E_F)**: 2.41 states/eV/f.u.
**DFT total energy**: -2.2169 eV per atom
**Energy relative to the elements**: -218 meV per atom
**Total moment**: 0.00 μB/f.u.
**SG**: No. 123

abc: 5.566 5.566 6.182
angles: 90.00 90.00 90.00
Sites, in units of the cell vectors:
Rb: 0.000 0.000 0.000
Na: 0.500 0.500 0.000
Li: 0.000 0.500 0.500
Li: 0.500 0.000 0.500
Bi: 0.500 0.500 0.500

=====

Entry 5:
Entry from the Alexandria database: a geometry-optimized NaLiBiRh structure (GGA-PBE).

Summary:
**Density**: 7.56 g/cm³
**N(E_F)**: 2.57 states/eV/f.u.
**DFT total energy**: -3.8047 eV per atom
**Energy relative to the elements**: -188 meV per atom
**Total moment**: 0.00 μB/f.u.
**SG**: No. 216

abc: 4.736 4.736 4.736
angles: 60.00 60.00 60.00
Sites, in units of the cell vectors:
Na: 0.000 0.000 0.000
Li: 0.750 0.750 0.750
Bi: 0.500 0.500 0.500
Rh: 0.250 0.250 0.250

=====

Entry 6:
Entry from the Alexandria database: a geometry-optimized NaLiBi2S4 structure (GGA-PBE).

Summary:
**Density**: 5.22 g/cm³
**DFT total energy**: -4.1011 eV per atom
**Total moment**: 0.00 μB/f.u.
**Uncorrected formation energy**: -64.0 kJ/mol of atoms
**SG**: No. 42

abc: 6.849 5.785 6.823
angles: 65.20 50.06 64.74
Sites, in units of the cell vectors:
Na: 0.000 0.000 0.000
Li: 0.465 0.465 0.535
Bi: 0.234 0.234 0.266
Bi: 0.734 0.734 0.766
S: 0.022 0.504 0.978
S: 0.273 0.745 0.255
S: 0.504 0.022 0.496
S: 0.745 0.273 0.727

=====

Entry 7:
Entry from the Alexandria database: a geometry-optimized Na2LiBiSe structure (GGA-PBE).

Summary:
**Density**: 3.08 g/cm³
**N(E_F)**: 2.68 states/eV/f.u.
**DFT total energy**: -2.3778 eV per atom
**Total moment**: 2.00 μB/f.u.
**Uncorrected formation energy**: 0.6 kJ/mol of atoms
**SG**: No. 123

abc: 5.919 5.919 5.242
angles: 90.00 90.00 90.00
Sites, in units of the cell vectors:
Na: 0.000 0.500 0.000
Na: 0.500 0.000 0.000
Li: 0.000 0.000 0.500
Bi: 0.000 0.000 0.000
Se: 0.500 0.500 0.500

=====

Entry 8:
Entry from the Alexandria database: a geometry-optimized Na2Sr3Li2Bi4 structure (GGA-PBE).

Summary:
**Density**: 5.28 g/cm³
**N(E_F)**: 9.38 states/eV/f.u.
**DFT total energy**: -3.0612 eV per atom
**Energy relative to the elements**: -603 meV per atom
**Total moment**: 0.00 μB/f.u.
**SG**: No. 164

abc: 5.037 5.037 16.581
angles: 90.00 90.00 120.00
Sites, in units of the cell vectors:
Na: 0.333 0.667 0.061
Na: 0.667 0.333 0.939
Sr: 0.000 0.000 0.244
Sr: 0.000 0.000 0.500
Sr: 0.000 0.000 0.756
Li: 0.333 0.667 0.644
Li: 0.667 0.333 0.356
Bi: 0.333 0.667 0.377
Bi: 0.333 0.667 0.858
Bi: 0.667 0.333 0.142
Bi: 0.667 0.333 0.623